No. 1
{"formula": "ZrAg2Ir", "functional": "PBE", "state": "optimized geometry", "sg": "I4/mmm", "ef_ev_per_atom": -0.253, "dos_ef_per_ev_atom": 0.36, "e_tot_ev_per_atom": -6.03, "lattice": [[-2.126, 4.924, -0.295], [-5.201, 0.440, -1.268], [2.999, -2.809, 3.459]], "species": ["Ag", "Ag", "Zr", "Ir"], "fractional_positions": [[0.500, 0.500, 0.000], [0.000, 0.000, 0.000], [0.250, 0.750, 0.500], [0.750, 0.250, 0.500]]}

---

No. 2
{"formula": "ZrAg2Ir", "functional": "PBE", "state": "optimized geometry", "sg": "P4/mmm", "ef_ev_per_atom": 0.286, "dos_ef_per_ev_atom": 1.10, "e_tot_ev_per_atom": -5.49, "lattice": [[-1.614, 1.936, 1.332], [-2.333, -1.515, -0.624], [0.870, -4.419, 7.474]], "species": ["Zr", "Ag", "Ag", "Ir"], "fractional_positions": [[0.500, 0.500, 0.750], [0.000, 0.000, 0.016], [0.000, 0.000, 0.484], [0.500, 0.500, 0.250]]}